# CaRe2Hg

CaRe2Hg after structural relaxation (GGA-PBEsol, Alexandria via LeMat-Bulk).

a = 3.1731 Å, b = 4.5216 Å, c = 9.9887 Å
α = 90.00°, β = 90.00°, γ = 90.00°
Space group Immm (No. 71)
Unique sites:
Ca1 0.0000 0.0000 0.0000 x2
Re1 0.0000 0.5000 0.2385 x4
Hg1 0.0000 0.0000 0.5000 x2

* N(E_F): 0.71 states/eV per atom
* formation enthalpy at 0 K: 286 kJ/mol of formula units
* total DFT energy (no corrections): -6.6004 eV/atom
* total magnetic moment: 0.00 μB per atom